Entry 1:
DFT (PBE-GGA) results for a relaxed Rb5CdAuO2 crystal.

Cell and atoms, written as POSCAR:
```
Rb5CdAuO2
1.0
5.811 0.000 0.000
0.000 5.811 0.000
0.000 0.000 9.901
Rb Cd Au O
5 1 1 2
direct
0.000 0.000 0.500
0.000 0.500 0.764
0.500 0.000 0.236
0.000 0.500 0.236
0.500 0.000 0.764
0.000 0.000 0.000
0.500 0.500 0.500
0.000 0.000 0.210
0.000 0.000 0.790
```

Summary:
As for the uncorrected formation energy: -0.6723 eV/atom. For the magnetic moment, the calculation gives 0.00 μB per formula unit.

Entry 2:
DFT (PBE-GGA) results for a relaxed Rb6CdAu2O crystal.

Cell and atoms, written as POSCAR:
```
Rb6CdAu2O
1.0
8.562 0.009 0.007
4.289 7.403 0.003
4.290 2.471 7.512
Rb Cd Au O
6 1 2 1
direct
0.511 0.289 0.218
0.289 0.981 0.218
0.981 0.512 0.218
0.364 0.693 0.786
0.693 0.157 0.786
0.157 0.364 0.787
0.842 0.842 0.475
0.522 0.521 0.434
0.970 0.970 0.090
0.332 0.332 0.003
```

Summary:
As for the uncorrected formation energy: -0.3836 eV/atom. For the magnetic moment, the calculation gives 0.00 μB per formula unit.

Entry 3:
DFT (PBE-GGA) results for a relaxed CdReAu2O crystal.

Cell and atoms, written as POSCAR:
```
CdReAu2O
1.0
5.270 0.000 0.000
0.000 3.700 0.000
0.000 0.000 5.270
Re Au O Cd
1 2 1 1
direct
0.000 0.000 0.000
0.000 0.000 0.500
0.500 0.000 0.000
0.000 0.500 0.000
0.500 0.500 0.500
```

Summary:
As for the uncorrected formation energy: 0.0823 eV/atom. For the magnetic moment, the calculation gives 0.62 μB per formula unit.

- The highest magnetic moment belongs to which entry?
  CdReAu2O

- Which of these has the lowest uncorrected formation energy?
  Rb5CdAuO2